# PaBMo | OQMD via LeMat-Bulk | GGA-PBE | relaxed
# calculated total energy: -105.52 eV for the cell shown
data_PaBMo
_symmetry_space_group_name_H-M 'F -4 3 m'
_symmetry_Int_Tables_number 216
_symmetry_space_group_name_Hall 'F -4 2 3'
_cell_length_a 5.919
_cell_length_b 5.919
_cell_length_c 5.919
_cell_angle_alpha 90.00
_cell_angle_beta 90.00
_cell_angle_gamma 90.00
loop_
_atom_site_label
_atom_site_type_symbol
_atom_site_fract_x
_atom_site_fract_y
_atom_site_fract_z
Pa1 Pa 0.000 0.000 0.000
B1 B 0.250 0.250 0.750
Mo1 Mo 0.000 0.000 0.500

# PaBMo | OQMD via LeMat-Bulk | GGA-PBE | relaxed
# calculated total energy: -93.07 eV for the cell shown
data_PaBMo
_symmetry_space_group_name_H-M 'F -4 3 m'
_symmetry_Int_Tables_number 216
_symmetry_space_group_name_Hall 'F -4 2 3'
_cell_length_a 6.066
_cell_length_b 6.066
_cell_length_c 6.066
_cell_angle_alpha 90.00
_cell_angle_beta 90.00
_cell_angle_gamma 90.00
loop_
_atom_site_label
_atom_site_type_symbol
_atom_site_fract_x
_atom_site_fract_y
_atom_site_fract_z
Pa1 Pa 0.000 0.000 0.000
B1 B 0.250 0.250 0.750
Mo1 Mo 0.250 0.250 0.250

# B4Mo3Pb | OQMD via LeMat-Bulk | GGA-PBE | relaxed
# calculated total energy: -64.12 eV for the cell shown
data_B4Mo3Pb
_symmetry_space_group_name_H-M 'P m m m'
_symmetry_Int_Tables_number 47
_cell_length_a 3.080
_cell_length_b 3.167
_cell_length_c 10.036
_cell_angle_alpha 90.00
_cell_angle_beta 90.00
_cell_angle_gamma 90.00
loop_
_symmetry_equiv_pos_as_xyz
'x,y,z'
'-x,-y,-z'
'-x,-y,z'
'x,y,-z'
'x,-y,-z'
'-x,y,z'
'-x,y,-z'
'x,-y,z'
loop_
_atom_site_label
_atom_site_type_symbol
_atom_site_fract_x
_atom_site_fract_y
_atom_site_fract_z
B1 B 0.000 0.000 0.092
B2 B 0.500 0.000 0.189
Mo1 Mo 0.000 0.500 0.250
Mo2 Mo 0.500 0.500 0.000
Pb1 Pb 0.500 0.000 0.500

# B2Mo3Pb | OQMD via LeMat-Bulk | GGA-PBE | relaxed
# calculated total energy: -99.64 eV for the cell shown
data_B2Mo3Pb
_symmetry_space_group_name_H-M 'P 63/m m c'
_symmetry_Int_Tables_number 194
_symmetry_space_group_name_Hall '-P 6c 2c'
_cell_length_a 3.2071
_cell_length_b 3.2071
_cell_length_c 19.2719
_cell_angle_alpha 90.00
_cell_angle_beta 90.00
_cell_angle_gamma 120.00
loop_
_atom_site_label
_atom_site_type_symbol
_atom_site_fract_x
_atom_site_fract_y
_atom_site_fract_z
B1 B 0.3333 0.6667 0.0676
Mo1 Mo 0.0000 0.0000 0.0000
Mo2 Mo 0.3333 0.6667 0.6257
Pb1 Pb 0.0000 0.0000 0.2500

# B2MoPb | OQMD via LeMat-Bulk | GGA-PBE | relaxed
# calculated total energy: -78.01 eV for the cell shown
data_B2MoPb
_symmetry_space_group_name_H-M 'F -4 3 m'
_symmetry_Int_Tables_number 216
_symmetry_space_group_name_Hall 'F -4 2 3'
_cell_length_a 6.216
_cell_length_b 6.216
_cell_length_c 6.216
_cell_angle_alpha 90.00
_cell_angle_beta 90.00
_cell_angle_gamma 90.00
loop_
_atom_site_label
_atom_site_type_symbol
_atom_site_fract_x
_atom_site_fract_y
_atom_site_fract_z
B1 B 0.000 0.000 0.000
B2 B 0.250 0.250 0.250
Mo1 Mo 0.250 0.250 0.750
Pb1 Pb 0.000 0.000 0.500

# BMoPb | OQMD via LeMat-Bulk | GGA-PBE | relaxed
# calculated total energy: -70.69 eV for the cell shown
data_BMoPb
_symmetry_space_group_name_H-M 'F -4 3 m'
_symmetry_Int_Tables_number 216
_symmetry_space_group_name_Hall 'F -4 2 3'
_cell_length_a 5.822
_cell_length_b 5.822
_cell_length_c 5.822
_cell_angle_alpha 90.00
_cell_angle_beta 90.00
_cell_angle_gamma 90.00
loop_
_atom_site_label
_atom_site_type_symbol
_atom_site_fract_x
_atom_site_fract_y
_atom_site_fract_z
B1 B 0.000 0.000 0.000
Mo1 Mo 0.250 0.250 0.750
Pb1 Pb 0.250 0.250 0.250

# BMoPb2 | OQMD via LeMat-Bulk | GGA-PBE | relaxed
# calculated total energy: -74.19 eV for the cell shown
data_BMoPb2
_symmetry_space_group_name_H-M 'F -4 3 m'
_symmetry_Int_Tables_number 216
_symmetry_space_group_name_Hall 'F -4 2 3'
_cell_length_a 6.884
_cell_length_b 6.884
_cell_length_c 6.884
_cell_angle_alpha 90.00
_cell_angle_beta 90.00
_cell_angle_gamma 90.00
loop_
_atom_site_label
_atom_site_type_symbol
_atom_site_fract_x
_atom_site_fract_y
_atom_site_fract_z
B1 B 0.000 0.000 0.000
Mo1 Mo 0.250 0.250 0.250
Pb1 Pb 0.000 0.000 0.500
Pb2 Pb 0.250 0.250 0.750

# PrBMo | OQMD via LeMat-Bulk | GGA-PBE | relaxed
# calculated total energy: -81.32 eV for the cell shown
data_PrBMo
_symmetry_space_group_name_H-M 'F -4 3 m'
_symmetry_Int_Tables_number 216
_symmetry_space_group_name_Hall 'F -4 2 3'
_cell_length_a 6.054
_cell_length_b 6.054
_cell_length_c 6.054
_cell_angle_alpha 90.00
_cell_angle_beta 90.00
_cell_angle_gamma 90.00
loop_
_atom_site_label
_atom_site_type_symbol
_atom_site_fract_x
_atom_site_fract_y
_atom_site_fract_z
Pr1 Pr 0.000 0.000 0.000
B1 B 0.250 0.250 0.750
Mo1 Mo 0.000 0.000 0.500

# PrBMo | OQMD via LeMat-Bulk | GGA-PBE | relaxed
# calculated total energy: -65.09 eV for the cell shown
data_PrBMo
_symmetry_space_group_name_H-M 'F -4 3 m'
_symmetry_Int_Tables_number 216
_symmetry_space_group_name_Hall 'F -4 2 3'
_cell_length_a 6.498
_cell_length_b 6.498
_cell_length_c 6.498
_cell_angle_alpha 90.00
_cell_angle_beta 90.00
_cell_angle_gamma 90.00
loop_
_atom_site_label
_atom_site_type_symbol
_atom_site_fract_x
_atom_site_fract_y
_atom_site_fract_z
Pr1 Pr 0.000 0.000 0.000
B1 B 0.250 0.250 0.750
Mo1 Mo 0.250 0.250 0.250

# B2MoPt | OQMD via LeMat-Bulk | GGA-PBE | relaxed
# calculated total energy: -102.74 eV for the cell shown
data_B2MoPt
_symmetry_space_group_name_H-M 'F -4 3 m'
_symmetry_Int_Tables_number 216
_symmetry_space_group_name_Hall 'F -4 2 3'
_cell_length_a 5.794
_cell_length_b 5.794
_cell_length_c 5.794
_cell_angle_alpha 90.00
_cell_angle_beta 90.00
_cell_angle_gamma 90.00
loop_
_atom_site_label
_atom_site_type_symbol
_atom_site_fract_x
_atom_site_fract_y
_atom_site_fract_z
B1 B 0.000 0.000 0.000
B2 B 0.250 0.250 0.250
Mo1 Mo 0.250 0.250 0.750
Pt1 Pt 0.000 0.000 0.500

# B3Mo3Pt | OQMD via LeMat-Bulk | GGA-PBE | relaxed
# calculated total energy: -245.66 eV for the cell shown
data_B3Mo3Pt
_symmetry_space_group_name_H-M 'C m c m'
_symmetry_Int_Tables_number 63
_symmetry_space_group_name_Hall '-C 2c 2'
_cell_length_a 3.221
_cell_length_b 8.744
_cell_length_c 11.229
_cell_angle_alpha 90.00
_cell_angle_beta 90.00
_cell_angle_gamma 90.00
loop_
_atom_site_label
_atom_site_type_symbol
_atom_site_fract_x
_atom_site_fract_y
_atom_site_fract_z
B1 B 0.000 0.094 0.114
B2 B 0.000 0.203 0.250
Mo1 Mo 0.000 0.218 0.618
Mo2 Mo 0.000 0.497 0.250
Pt1 Pt 0.000 0.500 0.000

# PuB4Mo | OQMD via LeMat-Bulk | GGA-PBE | relaxed
# calculated total energy: -219.77 eV for the cell shown
data_PuB4Mo
_symmetry_space_group_name_H-M 'P b a m'
_symmetry_Int_Tables_number 55
_cell_length_a 6.010
_cell_length_b 11.650
_cell_length_c 3.624
_cell_angle_alpha 90.00
_cell_angle_beta 90.00
_cell_angle_gamma 90.00
loop_
_symmetry_equiv_pos_as_xyz
'x,y,z'
'-x,-y,-z'
'-x,-y,z'
'x,y,-z'
'x+1/2,-y+1/2,-z'
'-x+1/2,y+1/2,z'
'-x+1/2,y+1/2,-z'
'x+1/2,-y+1/2,z'
loop_
_atom_site_label
_atom_site_type_symbol
_atom_site_fract_x
_atom_site_fract_y
_atom_site_fract_z
Pu1 Pu 0.125 0.150 0.000
B1 B 0.027 0.693 0.500
B2 B 0.116 0.547 0.500
B3 B 0.134 0.968 0.500
B4 B 0.214 0.813 0.500
Mo1 Mo 0.131 0.414 0.000

Q: The highest calculated total energy belongs to which entry?
A: B4Mo3Pb

Q: The lowest calculated total energy belongs to which entry?
A: B3Mo3Pt